Run i
An optimized crystal structure of Hg2BH, computed with PBE.

The structure in CIF format:
```
data_Hg2BH
_space_group_name_H-M_alt 'F m -3 m'
_space_group_IT_number 225
_space_group_name_Hall '-F 4 2 3'
_cell_length_a 6.203
_cell_length_b 6.203
_cell_length_c 6.203
_cell_angle_alpha 90.00
_cell_angle_beta 90.00
_cell_angle_gamma 90.00
loop_
_atom_site_label
_atom_site_type_symbol
_atom_site_fract_x
_atom_site_fract_y
_atom_site_fract_z
_atom_site_occupancy
Hg1 Hg 0.250 0.250 0.250 1
B1 B 0.000 0.000 0.000 1
H1 H 0.000 0.000 0.500 1
```

Run ii
An optimized crystal structure of Hg2BH, computed with PBE.

The structure in CIF format:
```
data_Hg2BH
_space_group_name_H-M_alt 'I -4 2 d'
_space_group_IT_number 122
_space_group_name_Hall 'I -4 2bw'
_cell_length_a 4.896
_cell_length_b 4.896
_cell_length_c 11.380
_cell_angle_alpha 90.00
_cell_angle_beta 90.00
_cell_angle_gamma 90.00
loop_
_atom_site_label
_atom_site_type_symbol
_atom_site_fract_x
_atom_site_fract_y
_atom_site_fract_z
_atom_site_occupancy
Hg1 Hg 0.239 0.250 0.125 1
B1 B 0.000 0.000 0.500 1
H1 H 0.000 0.000 0.000 1
```

The most stable arrangement is run ii, and the next structure is 349 meV/atom less stable.

Run i
An optimized crystal structure of HgB2H, computed with PBE.

The structure in CIF format:
```
data_HgB2H
_space_group_name_H-M_alt 'I 41/a m d'
_space_group_IT_number 141
_cell_length_a 3.433
_cell_length_b 3.433
_cell_length_c 13.934
_cell_angle_alpha 90.00
_cell_angle_beta 90.00
_cell_angle_gamma 90.00
loop_
_space_group_symop_operation_xyz
'x,y,z'
'-x,-y,-z'
'-y+1/4,x+3/4,z+1/4'
'y+1/4,-x+3/4,-z+1/4'
'-x+1/2,-y,z+1/2'
'x+1/2,y,-z+1/2'
'y+1/4,-x+1/4,z+3/4'
'-y+1/4,x+1/4,-z+3/4'
'x,-y,-z'
'-x,y,z'
'-y+1/4,-x+1/4,-z+3/4'
'y+1/4,x+1/4,z+3/4'
'-x+1/2,y,-z+1/2'
'x+1/2,-y,z+1/2'
'y+1/4,x+3/4,-z+1/4'
'-y+1/4,-x+3/4,z+1/4'
'x+1/2,y+1/2,z+1/2'
'-x+1/2,-y+1/2,-z+1/2'
'-y+3/4,x+1/4,z+3/4'
'y+3/4,-x+1/4,-z+3/4'
'-x,-y+1/2,z'
'x,y+1/2,-z'
'y+3/4,-x+3/4,z+1/4'
'-y+3/4,x+3/4,-z+1/4'
'x+1/2,-y+1/2,-z+1/2'
'-x+1/2,y+1/2,z+1/2'
'-y+3/4,-x+3/4,-z+1/4'
'y+3/4,x+3/4,z+1/4'
'-x,y+1/2,-z'
'x,-y+1/2,z'
'y+3/4,x+1/4,-z+3/4'
'-y+3/4,-x+1/4,z+3/4'
loop_
_atom_site_label
_atom_site_type_symbol
_atom_site_fract_x
_atom_site_fract_y
_atom_site_fract_z
_atom_site_occupancy
Hg1 Hg 0.000 0.250 0.375 1
B1 B 0.000 0.000 0.000 1
H1 H 0.000 0.250 0.875 1
```

Run ii
An optimized crystal structure of HgB2H, computed with PBE.

The structure in CIF format:
```
data_HgB2H
_space_group_name_H-M_alt 'F m -3 m'
_space_group_IT_number 225
_space_group_name_Hall '-F 4 2 3'
_cell_length_a 5.573
_cell_length_b 5.573
_cell_length_c 5.573
_cell_angle_alpha 90.00
_cell_angle_beta 90.00
_cell_angle_gamma 90.00
loop_
_atom_site_label
_atom_site_type_symbol
_atom_site_fract_x
_atom_site_fract_y
_atom_site_fract_z
_atom_site_occupancy
Hg1 Hg 0.000 0.000 0.000 1
B1 B 0.250 0.250 0.250 1
H1 H 0.000 0.000 0.500 1
```

The most stable arrangement is run i, and the next structure is 971 meV/atom less stable.